VASP calculation (PBE-GGA) on an optimized crystal structure of Pm6InSn2Te3.

Structure (CIF):
```
data_Pm6InSn2Te3
_chemical_formula_sum 'Pm12 In2 Sn4 Te6'
_symmetry_space_group_name_H-M 'C 1 2/m 1'
_symmetry_Int_Tables_number 12
_symmetry_space_group_name_Hall '-C 2y'
_cell_length_a 19.820
_cell_length_b 4.463
_cell_length_c 9.057
_cell_angle_alpha 90.00
_cell_angle_beta 106.55
_cell_angle_gamma 90.00
loop_
_atom_site_label
_atom_site_fract_x
_atom_site_fract_y
_atom_site_fract_z
_atom_site_occupancy
Pm1 0.000 0.000 0.248 1
Pm2 0.167 0.500 0.584 1
Pm3 0.169 0.500 0.074 1
In1 0.000 0.500 0.500 1
Sn1 0.165 0.000 0.827 1
Te1 0.000 0.500 0.000 1
Te2 0.168 0.000 0.330 1
```

Crystal system: monoclinic
Total DFT energy (no corrections) in eV/atom: -5.090
Volume in Å³/f.u.: 384

=====

VASP calculation (PBE-GGA) on an optimized crystal structure of PmThInSn.

Structure (CIF):
```
data_PmThInSn
_chemical_formula_sum 'Pm4 Th4 In4 Sn4'
_symmetry_space_group_name_H-M 'F -4 3 m'
_symmetry_Int_Tables_number 216
_symmetry_space_group_name_Hall 'F -4 2 3'
_cell_length_a 7.739
_cell_length_b 7.739
_cell_length_c 7.739
_cell_angle_alpha 90.00
_cell_angle_beta 90.00
_cell_angle_gamma 90.00
loop_
_atom_site_label
_atom_site_fract_x
_atom_site_fract_y
_atom_site_fract_z
_atom_site_occupancy
Pm1 0.000 0.000 0.000 1
Th1 0.000 0.000 0.500 1
In1 0.250 0.250 0.750 1
Sn1 0.250 0.250 0.250 1
```

Crystal system: cubic
DFT formation energy in eV/atom: -0.39
Volume in Å³/f.u.: 116

=====

VASP calculation (PBE-GGA) on an optimized crystal structure of PmTlInSn.

Structure (CIF):
```
data_PmTlInSn
_chemical_formula_sum 'Pm1 Tl1 In1 Sn1'
_symmetry_space_group_name_H-M 'P m m m'
_symmetry_Int_Tables_number 47
_symmetry_space_group_name_Hall '-P 2 2'
_cell_length_a 4.640
_cell_length_b 4.751
_cell_length_c 4.883
_cell_angle_alpha 90.00
_cell_angle_beta 90.00
_cell_angle_gamma 90.00
loop_
_atom_site_label
_atom_site_fract_x
_atom_site_fract_y
_atom_site_fract_z
_atom_site_occupancy
Pm1 0.000 0.000 0.000 1
Tl1 0.500 0.000 0.500 1
In1 0.000 0.500 0.500 1
Sn1 0.500 0.500 0.000 1
```

Crystal system: orthorhombic
DFT formation energy in eV/atom: -0.42
Volume in Å³/f.u.: 108

=====

VASP calculation (PBE-GGA) on an optimized crystal structure of PmYInSn.

Structure (CIF):
```
data_PmYInSn
_chemical_formula_sum 'Pm4 Y4 In4 Sn4'
_symmetry_space_group_name_H-M 'F -4 3 m'
_symmetry_Int_Tables_number 216
_symmetry_space_group_name_Hall 'F -4 2 3'
_cell_length_a 7.636
_cell_length_b 7.636
_cell_length_c 7.636
_cell_angle_alpha 90.00
_cell_angle_beta 90.00
_cell_angle_gamma 90.00
loop_
_atom_site_label
_atom_site_fract_x
_atom_site_fract_y
_atom_site_fract_z
_atom_site_occupancy
Pm1 0.000 0.000 0.000 1
Y1 0.000 0.000 0.500 1
In1 0.250 0.250 0.750 1
Sn1 0.250 0.250 0.250 1
```

Crystal system: cubic
DFT formation energy in eV/atom: -0.53
Volume in Å³/f.u.: 111
Offset from the most stable computed form in meV/atom: 108.7

=====

VASP calculation (PBE-GGA) on an optimized crystal structure of PmYInSn.

Structure (CIF):
```
data_PmYInSn
_chemical_formula_sum 'Pm2 Y2 In2 Sn2'
_symmetry_space_group_name_H-M 'A m m 2'
_symmetry_Int_Tables_number 38
_symmetry_space_group_name_Hall 'A 2 -2'
_cell_length_a 4.360
_cell_length_b 4.609
_cell_length_c 11.582
_cell_angle_alpha 90.00
_cell_angle_beta 90.00
_cell_angle_gamma 90.00
loop_
_atom_site_label
_atom_site_fract_x
_atom_site_fract_y
_atom_site_fract_z
_atom_site_occupancy
Pm1 0.000 0.000 0.000 1
Y1 0.500 0.000 0.726 1
In1 0.500 0.000 0.449 1
Sn1 0.000 0.000 0.276 1
```

Crystal system: orthorhombic
DFT formation energy in eV/atom: -0.64
Volume in Å³/f.u.: 116
Offset from the most stable computed form in meV/atom: 0.0

=====

VASP calculation (PBE-GGA) on an optimized crystal structure of SrPmIn6.

Structure (CIF):
```
data_SrPmIn6
_chemical_formula_sum 'Sr1 Pm1 In6'
_symmetry_space_group_name_H-M 'P 4/m m m'
_symmetry_Int_Tables_number 123
_symmetry_space_group_name_Hall '-P 4 2'
_cell_length_a 4.772
_cell_length_b 4.772
_cell_length_c 9.576
_cell_angle_alpha 90.00
_cell_angle_beta 90.00
_cell_angle_gamma 90.00
loop_
_atom_site_label
_atom_site_fract_x
_atom_site_fract_y
_atom_site_fract_z
_atom_site_occupancy
Sr1 0.000 0.000 0.000 1
Pm1 0.000 0.000 0.500 1
In1 0.000 0.500 0.256 1
In2 0.500 0.500 0.000 1
In3 0.500 0.500 0.500 1
```

Crystal system: tetragonal
DFT formation energy in eV/atom: -0.38
Volume in Å³/f.u.: 218